No. 1
Entry from the Alexandria database: an optimized crystal structure of BaMg4Cd12 (PBE).

Calculated values
* formation energy: 2.4 kcal/mol of atoms
* VASP energy: -0.038 Ha/atom

Geometry as POSCAR:
```
BaMg4Cd12
1.0
8.630 0.000 0.000
-2.877 8.137 0.000
-2.877 -4.068 7.046
Ba Mg Cd
1 4 12
Cartesian
0.000 0.000 0.000
-1.438 4.068 0.000
4.315 0.000 0.000
1.438 2.034 3.523
-1.438 -2.034 3.523
5.725 2.054 1.443
1.178 3.498 1.058
4.575 -1.403 4.546
0.029 -1.792 5.989
-1.699 5.471 2.501
1.699 0.570 5.989
2.905 -0.222 2.501
-0.029 4.290 4.546
2.848 5.860 1.058
4.055 3.235 3.488
-1.178 0.833 3.558
-2.848 2.014 5.604
```

***

No. 2
Entry from the Alexandria database: an optimized crystal structure of Ba2MgCd2 (PBE).

Calculated values
* formation energy: -0.4 kcal/mol of atoms
* VASP energy: -0.054 Ha/atom

Geometry as POSCAR:
```
Ba2MgCd2
1.0
-7.175 6.143 -2.836
-3.952 -7.160 -5.511
-2.285 -1.196 3.192
Mg Ba Cd
2 4 4
Cartesian
0.000 0.000 0.000
-5.563 -0.509 -4.173
-5.808 -3.930 -5.630
-8.649 0.493 -6.007
-5.319 2.913 -2.717
-2.477 -1.510 -2.339
-4.645 -4.317 -2.304
-9.124 -2.862 -4.966
-8.767 2.104 -2.850
-4.288 0.649 -0.189
```

***

No. 3
Entry from the Alexandria database: an optimized crystal structure of Ba2Mg9Cd6 (PBE).

Calculated values
* formation energy: -1.4 kcal/mol of atoms
* VASP energy: -0.053 Ha/atom

Geometry as POSCAR:
```
Ba2Mg9Cd6
1.0
6.254 0.000 0.000
-3.127 5.416 0.000
0.000 0.000 14.633
Ba Mg Cd
2 9 6
Cartesian
0.000 0.000 9.720
0.000 0.000 4.913
3.127 0.000 12.253
-1.564 2.708 12.253
1.564 2.708 12.253
3.127 0.000 2.380
-1.564 2.708 2.380
1.564 2.708 2.380
3.127 0.000 7.316
-1.564 2.708 7.316
1.564 2.708 7.316
0.000 3.611 0.000
3.127 1.805 0.000
0.000 3.611 9.779
3.127 1.805 9.779
3.127 1.805 4.854
0.000 3.611 4.854
```

***

No. 4
Entry from the Alexandria database: an optimized crystal structure of BaMg3Cd9 (PBE).

Calculated values
* formation energy: -3.9 kcal/mol of atoms
* VASP energy: -0.048 Ha/atom

Geometry as POSCAR:
```
BaMg3Cd9
1.0
5.587 0.048 2.268
2.743 7.224 1.114
0.074 0.024 7.833
Ba Mg Cd
1 3 9
Cartesian
0.000 0.000 0.000
4.165 3.636 1.691
0.037 0.012 3.917
2.831 0.036 5.051
6.209 5.681 8.585
2.196 1.615 2.630
3.482 1.639 7.478
4.923 5.657 3.737
4.581 2.576 4.628
3.824 4.720 6.586
1.820 4.696 3.508
6.585 2.600 7.707
1.372 3.612 0.557
```

***

No. 5
Entry from the Alexandria database: an optimized crystal structure of BaMgCd4 (PBE).

Calculated values
* formation energy: -3.5 kcal/mol of atoms
* VASP energy: -0.050 Ha/atom

Geometry as POSCAR:
```
BaMgCd4
1.0
6.153 0.000 0.000
3.077 5.329 0.000
3.077 1.776 5.024
Ba Cd Mg
1 4 1
Cartesian
0.000 0.000 0.000
4.621 4.437 3.138
7.685 4.437 3.138
6.153 1.783 3.138
6.153 3.552 0.635
3.077 1.776 1.256
```

***

No. 6
Entry from the Alexandria database: an optimized crystal structure of Ba2Mg6Cd3 (PBE).

Calculated values
* formation energy: -2.7 kcal/mol of atoms
* VASP energy: -0.058 Ha/atom

Geometry as POSCAR:
```
Ba2Mg6Cd3
1.0
-3.415 -2.302 -2.514
3.720 -7.817 2.103
-6.257 3.519 5.277
Ba Mg Cd
2 6 3
Cartesian
0.395 -4.039 3.161
-2.931 -0.260 4.219
-3.553 -4.279 4.113
-3.412 -0.193 0.180
-0.500 -0.847 1.454
2.987 -6.277 1.688
-0.694 -3.280 -0.685
-5.023 2.825 4.237
-2.695 -2.824 1.616
0.564 -5.925 0.027
-5.529 0.998 1.966
```

***

- Which formula does entry 5 have?
  BaMgCd4